Record 1
The following is a DFT calculation (PBE-GGA) of a relaxed structure of Li6Cu8Ni.

Values from the calculation:
DFT total energy, eV per atom: -3.3364
M_tot, μB/f.u.: 0.00
Crystal system: trigonal
D(E_F), states/eV/cell: 6.47

Lattice parameters (Å, degrees): 6.4368 6.4368 6.4368 60.61 60.61 60.61
Atoms (fractional coordinates):
Li (0.0414, 0.5545, 0.7723)
Li (0.2277, 0.9586, 0.4455)
Li (0.4455, 0.2277, 0.9586)
Li (0.5545, 0.7723, 0.0414)
Li (0.7723, 0.0414, 0.5545)
Li (0.9586, 0.4455, 0.2277)
Cu (0.0761, 0.0761, 0.0761)
Cu (0.1751, 0.6168, 0.3113)
Cu (0.3113, 0.1751, 0.6168)
Cu (0.3832, 0.6887, 0.8249)
Cu (0.6168, 0.3113, 0.1751)
Cu (0.6887, 0.8249, 0.3832)
Cu (0.8249, 0.3832, 0.6887)
Cu (0.9239, 0.9239, 0.9239)
Ni (0.5000, 0.5000, 0.5000)

---

Record 2
The following is a DFT calculation (PBE-GGA) of a relaxed structure of K2RbLiPb.

Values from the calculation:
M_tot, μB/f.u.: 0.00
Distance to the lowest polymorph of the same formula, eV/atom: 0.0000
Crystal system: tetragonal
D(E_F), states/eV/cell: 2.78

Lattice parameters (Å, degrees): 6.5486 6.5486 5.3851 90.00 90.00 90.00
Atoms (fractional coordinates):
K (0.0000, 0.5000, 0.0000)
K (0.5000, 0.0000, 0.0000)
Rb (0.0000, 0.0000, 0.5000)
Li (0.5000, 0.5000, 0.0000)
Pb (0.5000, 0.5000, 0.5000)

---

Record 3
The following is a DFT calculation (PBE-GGA) of a relaxed structure of PuGa2Pt.

Values from the calculation:
DFT total energy, eV per atom: -7.2671
M_tot, μB/f.u.: 5.36
Crystal system: monoclinic
D(E_F), states/eV/cell: 19.11

Lattice parameters (Å, degrees): 4.4712 6.7465 5.5168 90.00 113.73 90.00
Atoms (fractional coordinates):
Pu (0.0875, 0.2500, 0.1739)
Pu (0.9125, 0.7500, 0.8261)
Ga (0.3709, 0.0539, 0.7418)
Ga (0.3709, 0.4461, 0.7418)
Ga (0.6291, 0.5539, 0.2582)
Ga (0.6291, 0.9461, 0.2582)
Pt (0.2017, 0.7500, 0.4035)
Pt (0.7983, 0.2500, 0.5965)

---

Record 4
The following is a DFT calculation (PBE-GGA) of a relaxed structure of ScTlZnCu.

Values from the calculation:
DFT total energy, eV per atom: -3.6030
M_tot, μB/f.u.: 0.00
Crystal system: cubic
D(E_F), states/eV/cell: 2.46

Lattice parameters (Å, degrees): 4.6723 4.6723 4.6723 60.00 60.00 60.00
Atoms (fractional coordinates):
Sc (0.0000, 0.0000, 0.0000)
Tl (0.5000, 0.5000, 0.5000)
Zn (0.7500, 0.7500, 0.7500)
Cu (0.2500, 0.2500, 0.2500)